Record 1
The following is a DFT calculation (PBE-GGA) of a relaxed structure of La4Pr5Ho2.

Output
- Energy relative to the lowest polymorph listed for this composition: 0.000 eV per atom

a b c (Å): 9.244 9.244 11.978
angles (deg): 94.12 94.12 22.59
Positions (direct):
La 0.041 0.041 0.264
La 0.358 0.358 0.205
La 0.642 0.642 0.795
La 0.959 0.959 0.736
Pr 0.096 0.096 0.539
Pr 0.179 0.179 0.075
Pr 0.500 0.500 0.000
Pr 0.821 0.821 0.925
Pr 0.904 0.904 0.461
Ho 0.283 0.283 0.636
Ho 0.717 0.717 0.364

***

Record 2
The following is a DFT calculation (PBE-GGA) of a relaxed structure of LaPrHo2.

Output
- Energy relative to the lowest polymorph listed for this composition: 0.010 eV per atom

a b c (Å): 3.643 3.643 35.226
angles (deg): 90.00 90.00 120.00
Positions (direct):
La 0.000 0.000 0.000
La 0.333 0.667 0.667
La 0.667 0.333 0.333
Pr 0.000 0.000 0.834
Pr 0.333 0.667 0.501
Pr 0.667 0.333 0.167
Ho 0.000 0.000 0.416
Ho 0.000 0.000 0.584
Ho 0.333 0.667 0.083
Ho 0.333 0.667 0.250
Ho 0.667 0.333 0.750
Ho 0.667 0.333 0.917

***

Record 3
The following is a DFT calculation (PBE-GGA) of a relaxed structure of LaPr2Ho9.

Output
- Energy relative to the lowest polymorph listed for this composition: 0.035 eV per atom

a b c (Å): 11.336 11.336 3.529
angles (deg): 90.00 90.00 120.00
Positions (direct):
La 0.000 0.000 0.000
Pr 0.333 0.667 0.000
Pr 0.667 0.333 0.000
Ho 0.000 0.500 0.000
Ho 0.176 0.353 0.500
Ho 0.176 0.824 0.500
Ho 0.353 0.176 0.500
Ho 0.500 0.000 0.000
Ho 0.500 0.500 0.000
Ho 0.647 0.824 0.500
Ho 0.824 0.176 0.500
Ho 0.824 0.647 0.500

***

Record 4
The following is a DFT calculation (PBE-GGA) of a relaxed structure of La5Pr4Ho.

Output
- Energy relative to the lowest polymorph listed for this composition: 0.000 eV per atom

a b c (Å): 9.063 9.063 11.815
angles (deg): 109.09 109.09 23.29
Positions (direct):
La 0.000 0.000 0.000
La 0.295 0.295 0.393
La 0.308 0.308 0.913
La 0.692 0.692 0.087
La 0.705 0.705 0.607
Pr 0.106 0.106 0.798
Pr 0.415 0.415 0.705
Pr 0.585 0.585 0.295
Pr 0.894 0.894 0.202
Ho 0.000 0.000 0.500

***

Record 5
The following is a DFT calculation (PBE-GGA) of a relaxed structure of La3Pr8Ho4.

a b c (Å): 9.362 9.362 6.994
angles (deg): 111.12 111.12 83.08
Positions (direct):
La 0.000 0.000 0.000
La 0.000 0.500 0.500
La 0.500 0.000 0.500
Pr 0.204 0.204 0.666
Pr 0.207 0.793 0.500
Pr 0.253 0.747 0.000
Pr 0.255 0.255 0.185
Pr 0.745 0.745 0.815
Pr 0.747 0.253 0.000
Pr 0.793 0.207 0.500
Pr 0.796 0.796 0.334
Ho 0.000 0.500 0.000
Ho 0.500 0.000 0.000
Ho 0.500 0.500 0.000
Ho 0.500 0.500 0.500

***

Record 6
The following is a DFT calculation (PBE-GGA) of a relaxed structure of La3PrHo5.

a b c (Å): 7.467 7.467 12.785
angles (deg): 97.79 97.79 67.20
Positions (direct):
La 0.000 0.000 0.000
La 0.000 0.000 0.500
La 0.268 0.268 0.536
La 0.379 0.379 0.786
La 0.621 0.621 0.214
La 0.732 0.732 0.464
Pr 0.140 0.140 0.264
Pr 0.860 0.860 0.736
Ho 0.067 0.671 0.217
Ho 0.258 0.258 0.021
Ho 0.321 0.679 0.000
Ho 0.329 0.933 0.783
Ho 0.447 0.447 0.376
Ho 0.553 0.553 0.624
Ho 0.671 0.067 0.217
Ho 0.679 0.321 0.000
Ho 0.742 0.742 0.979
Ho 0.933 0.329 0.783

***

Record 7
The following is a DFT calculation (PBE-GGA) of a relaxed structure of La3Pr3Ho.

Output
- Energy relative to the lowest polymorph listed for this composition: 0.174 eV per atom

a b c (Å): 9.027 9.027 9.027
angles (deg): 59.36 59.36 59.36
Positions (direct):
La 0.060 0.301 0.810
La 0.190 0.940 0.699
La 0.301 0.810 0.060
La 0.699 0.190 0.940
La 0.810 0.060 0.301
La 0.940 0.699 0.190
Pr 0.068 0.722 0.566
Pr 0.278 0.434 0.932
Pr 0.434 0.932 0.278
Pr 0.566 0.068 0.722
Pr 0.722 0.566 0.068
Pr 0.932 0.278 0.434
Ho 0.348 0.348 0.348
Ho 0.652 0.652 0.652

***

Record 8
The following is a DFT calculation (PBE-GGA) of a relaxed structure of La3Pr4Ho4.

Output
- Energy relative to the lowest polymorph listed for this composition: 0.000 eV per atom

a b c (Å): 20.220 20.220 20.220
angles (deg): 169.60 165.27 18.07
Positions (direct):
La 0.000 0.000 0.000
La 0.363 0.363 0.000
La 0.637 0.637 0.000
Pr 0.184 0.184 0.000
Pr 0.453 0.453 0.000
Pr 0.547 0.547 0.000
Pr 0.816 0.816 0.000
Ho 0.091 0.091 0.000
Ho 0.272 0.272 0.000
Ho 0.728 0.728 0.000
Ho 0.909 0.909 0.000

***

Record 9
The following is a DFT calculation (PBE-GGA) of a relaxed structure of LaPrHo6.

Output
- Energy relative to the lowest polymorph listed for this composition: 0.339 eV per atom

a b c (Å): 10.381 6.700 8.530
angles (deg): 90.00 105.00 90.00
Positions (direct):
La 0.000 0.000 0.000
La 0.500 0.500 0.000
Pr 0.000 0.000 0.500
Pr 0.500 0.500 0.500
Ho 0.123 0.500 0.421
Ho 0.200 0.259 0.798
Ho 0.200 0.741 0.798
Ho 0.300 0.241 0.202
Ho 0.300 0.759 0.202
Ho 0.377 0.000 0.579
Ho 0.623 0.000 0.421
Ho 0.700 0.241 0.798
Ho 0.700 0.759 0.798
Ho 0.800 0.259 0.202
Ho 0.800 0.741 0.202
Ho 0.877 0.500 0.579

***

Record 10
The following is a DFT calculation (PBE-GGA) of a relaxed structure of La2Pr3Ho7.

a b c (Å): 5.887 3.611 19.076
angles (deg): 90.00 93.09 90.00
Positions (direct):
La 0.210 0.000 0.292
La 0.790 0.000 0.708
Pr 0.000 0.000 0.000
Pr 0.276 0.500 0.630
Pr 0.724 0.500 0.370
Ho 0.190 0.500 0.141
Ho 0.243 0.000 0.462
Ho 0.309 0.000 0.830
Ho 0.500 0.500 0.000
Ho 0.691 0.000 0.170
Ho 0.757 0.000 0.538
Ho 0.810 0.500 0.859

***

Record 11
The following is a DFT calculation (PBE-GGA) of a relaxed structure of La2Pr5Ho4.

Output
- Energy relative to the lowest polymorph listed for this composition: 0.023 eV per atom

a b c (Å): 12.913 12.913 12.913
angles (deg): 164.13 137.81 45.35
Positions (direct):
La 0.233 0.233 0.000
La 0.767 0.767 0.000
Pr 0.162 0.359 0.804
Pr 0.445 0.641 0.804
Pr 0.500 0.000 0.500
Pr 0.555 0.359 0.196
Pr 0.838 0.641 0.196
Ho 0.097 0.097 0.000
Ho 0.183 0.500 0.683
Ho 0.817 0.500 0.317
Ho 0.903 0.903 0.000

***

Record 12
The following is a DFT calculation (PBE-GGA) of a relaxed structure of LaPr3Ho4.

Output
- Energy relative to the lowest polymorph listed for this composition: 0.101 eV per atom

a b c (Å): 3.460 11.767 13.327
angles (deg): 90.00 90.00 90.00
Positions (direct):
La 0.000 0.000 0.000
La 0.500 0.500 0.500
Pr 0.000 0.000 0.500
Pr 0.000 0.500 0.258
Pr 0.000 0.500 0.742
Pr 0.500 0.000 0.242
Pr 0.500 0.000 0.758
Pr 0.500 0.500 0.000
Ho 0.000 0.250 0.135
Ho 0.000 0.250 0.865
Ho 0.000 0.750 0.135
Ho 0.000 0.750 0.865
Ho 0.500 0.250 0.365
Ho 0.500 0.250 0.635
Ho 0.500 0.750 0.365
Ho 0.500 0.750 0.635

***

Number 1: calculated total energy -4.723 eV per atom, DOS at the Fermi energy 1.67 states/eV per atom, calculated formation energy 0.074 eV per atom. Number 2: calculated total energy -4.692 eV per atom, DOS at the Fermi energy 1.50 states/eV per atom, calculated formation energy 0.023 eV per atom. Number 3: calculated total energy -4.578 eV per atom, DOS at the Fermi energy 1.58 states/eV per atom, calculated formation energy 0.062 eV per atom. Number 4: calculated total energy -4.798 eV per atom, DOS at the Fermi energy 1.49 states/eV per atom, calculated formation energy 0.035 eV per atom. Number 5: calculated total energy -4.446 eV per atom, DOS at the Fermi energy 1.62 states/eV per atom, calculated formation energy 0.309 eV per atom. Number 6: calculated total energy -4.301 eV per atom, DOS at the Fermi energy 1.67 states/eV per atom, calculated formation energy 0.416 eV per atom. Number 7: calculated total energy -4.606 eV per atom, DOS at the Fermi energy 1.52 states/eV per atom, calculated formation energy 0.208 eV per atom. Number 8: calculated total energy -4.726 eV per atom, DOS at the Fermi energy 1.49 states/eV per atom, calculated formation energy 0.020 eV per atom. Number 9: calculated total energy -4.278 eV per atom, DOS at the Fermi energy 1.48 states/eV per atom, calculated formation energy 0.369 eV per atom. Number 10: calculated total energy -4.596 eV per atom, DOS at the Fermi energy 1.21 states/eV per atom, calculated formation energy 0.091 eV per atom. Number 11: calculated total energy -4.576 eV per atom, DOS at the Fermi energy 1.45 states/eV per atom, calculated formation energy 0.157 eV per atom. Number 12: calculated total energy -4.563 eV per atom, DOS at the Fermi energy 1.60 states/eV per atom, calculated formation energy 0.134 eV per atom.